# LiSc2Sn4 PBE optimized geometry
data_LiSc2Sn4
_symmetry_space_group_name_H-M 'P 1'
_symmetry_Int_Tables_number 1
_cell_length_a 6.079
_cell_length_b 6.079
_cell_length_c 6.079
_cell_angle_alpha 114.38
_cell_angle_beta 107.07
_cell_angle_gamma 107.07
loop_
_symmetry_equiv_pos_as_xyz
'x,y,z'
loop_
_atom_site_label
_atom_site_type_symbol
_atom_site_fract_x
_atom_site_fract_y
_atom_site_fract_z
Sn1 Sn 0.500 0.500 0.500
Sn2 Sn 0.000 0.000 0.500
Sn3 Sn 0.500 0.000 0.000
Sn4 Sn 0.000 0.500 0.000
Li1 Li 0.000 0.000 0.000
Sc1 Sc 0.500 0.500 0.000
Sc2 Sc 0.500 0.000 0.500
# ΔH_f (0 K): -2.73 eV per formula unit
# symmetry: I4/mmm

# TmTlCdAu PBE optimized geometry
data_TmTlCdAu
_symmetry_space_group_name_H-M 'P 1'
_symmetry_Int_Tables_number 1
_cell_length_a 5.042
_cell_length_b 5.042
_cell_length_c 5.042
_cell_angle_alpha 60.00
_cell_angle_beta 60.00
_cell_angle_gamma 60.00
loop_
_symmetry_equiv_pos_as_xyz
'x,y,z'
loop_
_atom_site_label
_atom_site_type_symbol
_atom_site_fract_x
_atom_site_fract_y
_atom_site_fract_z
Tl1 Tl 0.000 0.000 0.000
Au1 Au 0.500 0.500 0.500
Cd1 Cd 0.750 0.750 0.750
Tm1 Tm 0.250 0.250 0.250
# ΔH_f (0 K): -1.47 eV per formula unit
# symmetry: F-43m